1.
GaNi2Au2 | GGA-PBE | relaxed

```
GaNi2Au2
1.0
6.1385 0.0000 0.0000
0.0000 6.1385 0.0000
0.0000 0.0000 4.0064
Ga Ni Au
2 4 4
direct
0.0000 0.0000 0.0000 Ga
0.5000 0.5000 0.0000 Ga
0.1354 0.3646 0.0000 Ni
0.3646 0.8646 0.0000 Ni
0.6354 0.1354 0.0000 Ni
0.8646 0.6354 0.0000 Ni
0.1669 0.6669 0.5000 Au
0.3331 0.1669 0.5000 Au
0.6669 0.8331 0.5000 Au
0.8331 0.3331 0.5000 Au
```

Summary:
- calculated density (Mg/m³) = 12.78
- E above lowest polymorph (eV/atom) = 0.000
- magnetization (μB per formula unit) = 0.000
- Fermi-level density of states (states/eV/atom) = 0.443
- symmetry = P4/mbm, No. 127
- ΔH_f (0 K) (kJ/mol of atoms) = -7.66
- total energy (eV per atom) = -4.31



2.
Be2PAu | GGA-PBE | relaxed

```
Be2PAu
1.0
3.1125 0.0000 0.0000
0.0000 3.1125 0.0000
0.0000 0.0000 5.1096
Be P Au
2 1 1
direct
0.0000 0.0000 0.2046 Be
0.0000 0.0000 0.7954 Be
0.5000 0.5000 0.0000 P
0.5000 0.5000 0.5000 Au
```

Summary:
- calculated density (Mg/m³) = 8.25
- magnetization (μB per formula unit) = 0.000
- Fermi-level density of states (states/eV/atom) = 0.474
- symmetry = P4/mmm, No. 123
- ΔH_f (0 K) (kJ/mol of atoms) = 16.64
- total energy (eV per atom) = -3.86



> Which value of total energy does entry 1 give?

-4.31 eV per atom



> Which of these has the highest calculated density?

GaNi2Au2



> Among the records above, which one has the highest total energy?

Be2PAu



> Which formula does entry 2 have?

Be2PAu